# 1
Compound: BaZrTaF2
Source: the Alexandria database
Functional: PBE-GGA
Structure: optimized geometry

Cell and atoms, written as CIF:
```
data_BaZrTaF2
_chemical_formula_sum 'Ba1 Zr1 Ta1 F2'
_cell_length_a 4.6549
_cell_length_b 4.6549
_cell_length_c 8.0089
_cell_angle_alpha 90.00
_cell_angle_beta 90.00
_cell_angle_gamma 90.00
_symmetry_space_group_name_H-M 'P 4/m m m'
_symmetry_Int_Tables_number 123
_symmetry_space_group_name_Hall '-P 4 2'
loop_
_atom_site_label
_atom_site_fract_x
_atom_site_fract_y
_atom_site_fract_z
_atom_site_occupancy
Ba1 0.0000 0.0000 0.0000 1
Zr1 0.5000 0.5000 0.5000 1
Ta1 0.0000 0.0000 0.5000 1
F1 0.0000 0.5000 0.0000 1
```

Values from the calculation:
The value obtained for the formation energy without anion corrections is -2.17 eV/f.u. For the uncorrected energy, the calculation gives -28.235 eV for the cell shown. As for the density of states at the Fermi level: 2.0 states/eV per cell.

=====

# 2
Compound: BaTbF6
Source: the Alexandria database
Functional: PBE-GGA
Structure: optimized geometry

Cell and atoms, written as CIF:
```
data_BaTbF6
_chemical_formula_sum 'Ba4 Tb4 F24'
_cell_length_a 7.5417
_cell_length_b 8.7281
_cell_length_c 8.9198
_cell_angle_alpha 104.21
_cell_angle_beta 113.99
_cell_angle_gamma 94.15
_symmetry_space_group_name_H-M 'P -1'
_symmetry_Int_Tables_number 2
_symmetry_space_group_name_Hall '-P 1'
loop_
_atom_site_label
_atom_site_fract_x
_atom_site_fract_y
_atom_site_fract_z
_atom_site_occupancy
Ba1 0.2146 0.2619 0.2106 1
Ba2 0.2215 0.4493 0.7410 1
Tb1 0.2746 0.9227 0.7253 1
Tb2 0.3237 0.7514 0.2370 1
F1 0.0000 0.0000 0.5000 1
F2 0.0122 0.7109 0.6029 1
F3 0.0247 0.2346 0.8568 1
F4 0.0883 0.0103 0.8758 1
F5 0.1359 0.5609 0.2697 1
F6 0.1885 0.7302 0.9548 1
F7 0.2615 0.8960 0.4646 1
F8 0.3625 0.5086 0.0944 1
F9 0.3769 0.1892 0.7750 1
F10 0.3983 0.0142 0.2606 1
F11 0.4063 0.7053 0.7255 1
F12 0.4389 0.3238 0.5562 1
F13 0.5000 0.0000 0.0000 1
```

Values from the calculation:
The value obtained for the formation energy without anion corrections is -28.04 eV/f.u. For the uncorrected energy, the calculation gives -183.267 eV for the cell shown. As for the density of states at the Fermi level: 24.2 states/eV per cell.

=====

# 3
Compound: Ba2TbF8
Source: the Alexandria database
Functional: PBE-GGA
Structure: optimized geometry

Cell and atoms, written as CIF:
```
data_Ba2TbF8
_chemical_formula_sum 'Ba4 Tb2 F16'
_cell_length_a 18.0964
_cell_length_b 4.1817
_cell_length_c 5.1183
_cell_angle_alpha 90.00
_cell_angle_beta 105.33
_cell_angle_gamma 90.00
_symmetry_space_group_name_H-M 'C 1 2/m 1'
_symmetry_Int_Tables_number 12
_symmetry_space_group_name_Hall '-C 2y'
loop_
_atom_site_label
_atom_site_fract_x
_atom_site_fract_y
_atom_site_fract_z
_atom_site_occupancy
Ba1 0.1687 0.0000 0.1793 1
Tb1 0.0000 0.5000 0.5000 1
F1 0.0102 0.0000 0.2829 1
F2 0.0947 0.5000 0.8843 1
F3 0.1147 0.5000 0.4102 1
F4 0.2329 0.0000 0.7422 1
```

Values from the calculation:
The value obtained for the formation energy without anion corrections is -39.34 eV/f.u. For the uncorrected energy, the calculation gives -125.576 eV for the cell shown. As for the density of states at the Fermi level: 22.1 states/eV per cell.

=====

# 4
Compound: BaTbF6
Source: the Alexandria database
Functional: PBE-GGA
Structure: optimized geometry

Cell and atoms, written as CIF:
```
data_BaTbF6
_chemical_formula_sum 'Ba4 Tb4 F24'
_cell_length_a 8.0110
_cell_length_b 12.1701
_cell_length_c 5.5739
_cell_angle_alpha 90.00
_cell_angle_beta 90.00
_cell_angle_gamma 90.00
_symmetry_space_group_name_H-M 'C m m e'
_symmetry_Int_Tables_number 67
_symmetry_space_group_name_Hall '-C 2a 2'
loop_
_atom_site_label
_atom_site_fract_x
_atom_site_fract_y
_atom_site_fract_z
_atom_site_occupancy
Ba1 0.0000 0.2500 0.0737 1
Tb1 0.2500 0.0000 0.5000 1
F1 0.0000 0.0706 0.3446 1
F2 0.1954 0.1345 0.7694 1
```

Values from the calculation:
The value obtained for the formation energy without anion corrections is -27.78 eV/f.u. For the uncorrected energy, the calculation gives -182.250 eV for the cell shown. As for the density of states at the Fermi level: 37.7 states/eV per cell.

=====

# 5
Compound: Ba2TbTlF8
Source: the Alexandria database
Functional: PBE-GGA
Structure: optimized geometry

Cell and atoms, written as CIF:
```
data_Ba2TbTlF8
_chemical_formula_sum 'Ba4 Tb2 Tl2 F16'
_cell_length_a 6.0413
_cell_length_b 6.0413
_cell_length_c 12.3452
_cell_angle_alpha 90.00
_cell_angle_beta 90.00
_cell_angle_gamma 90.00
_symmetry_space_group_name_H-M 'I -4 m 2'
_symmetry_Int_Tables_number 119
_symmetry_space_group_name_Hall 'I -4 -2'
loop_
_atom_site_label
_atom_site_fract_x
_atom_site_fract_y
_atom_site_fract_z
_atom_site_occupancy
Ba1 0.0000 0.0000 0.0000 1
Ba2 0.0000 0.5000 0.2500 1
Tb1 0.0000 0.5000 0.7500 1
Tl1 0.0000 0.0000 0.5000 1
F1 0.2183 0.2669 0.8593 1
```

Values from the calculation:
The value obtained for the formation energy without anion corrections is -43.17 eV/f.u. For the uncorrected energy, the calculation gives -137.966 eV for the cell shown. As for the density of states at the Fermi level: 0.0 states/eV per cell.

=====

# 6
Compound: BaTbTl2F8
Source: the Alexandria database
Functional: PBE-GGA
Structure: optimized geometry

Cell and atoms, written as CIF:
```
data_BaTbTl2F8
_chemical_formula_sum 'Ba2 Tb2 Tl4 F16'
_cell_length_a 6.1253
_cell_length_b 6.1253
_cell_length_c 11.4815
_cell_angle_alpha 90.00
_cell_angle_beta 90.00
_cell_angle_gamma 90.00
_symmetry_space_group_name_H-M 'I -4 m 2'
_symmetry_Int_Tables_number 119
_symmetry_space_group_name_Hall 'I -4 -2'
loop_
_atom_site_label
_atom_site_fract_x
_atom_site_fract_y
_atom_site_fract_z
_atom_site_occupancy
Ba1 0.0000 0.0000 0.0000 1
Tb1 0.0000 0.5000 0.2500 1
Tl1 0.0000 0.0000 0.5000 1
Tl2 0.0000 0.5000 0.7500 1
F1 0.2128 0.2765 0.3702 1
```

Values from the calculation:
The value obtained for the formation energy without anion corrections is -36.45 eV/f.u. For the uncorrected energy, the calculation gives -125.422 eV for the cell shown. As for the density of states at the Fermi level: 8.6 states/eV per cell.

=====

# 7
Compound: BaTc2F
Source: the Alexandria database
Functional: PBE-GGA
Structure: optimized geometry

Cell and atoms, written as CIF:
```
data_BaTc2F
_chemical_formula_sum 'Ba4 Tc8 F4'
_cell_length_a 3.5649
_cell_length_b 3.5649
_cell_length_c 27.5804
_cell_angle_alpha 90.00
_cell_angle_beta 90.00
_cell_angle_gamma 90.00
_symmetry_space_group_name_H-M 'I -4 2 d'
_symmetry_Int_Tables_number 122
_symmetry_space_group_name_Hall 'I -4 2bw'
loop_
_atom_site_label
_atom_site_fract_x
_atom_site_fract_y
_atom_site_fract_z
_atom_site_occupancy
Ba1 0.0000 0.0000 0.0000 1
Tc1 0.2484 0.2500 0.1250 1
F1 0.0000 0.0000 0.5000 1
```

Values from the calculation:
The value obtained for the formation energy without anion corrections is -2.28 eV/f.u. For the uncorrected energy, the calculation gives -107.213 eV for the cell shown. As for the density of states at the Fermi level: 10.1 states/eV per cell. The value obtained for the excess energy over the best structure of this formula in the dataset is 0.000 eV/atom.

=====

# 8
Compound: Ba2TcF
Source: the Alexandria database
Functional: PBE-GGA
Structure: optimized geometry

Cell and atoms, written as CIF:
```
data_Ba2TcF
_chemical_formula_sum 'Ba8 Tc4 F4'
_cell_length_a 7.5220
_cell_length_b 7.5220
_cell_length_c 9.0939
_cell_angle_alpha 90.00
_cell_angle_beta 90.00
_cell_angle_gamma 90.00
_symmetry_space_group_name_H-M 'I -4 2 d'
_symmetry_Int_Tables_number 122
_symmetry_space_group_name_Hall 'I -4 2bw'
loop_
_atom_site_label
_atom_site_fract_x
_atom_site_fract_y
_atom_site_fract_z
_atom_site_occupancy
Ba1 0.1980 0.7500 0.1250 1
Tc1 0.0000 0.0000 0.5000 1
F1 0.0000 0.0000 0.0000 1
```

Values from the calculation:
The value obtained for the formation energy without anion corrections is -2.14 eV/f.u. For the uncorrected energy, the calculation gives -72.901 eV for the cell shown. As for the density of states at the Fermi level: 6.7 states/eV per cell. The value obtained for the excess energy over the best structure of this formula in the dataset is 0.000 eV/atom.

=====

# 9
Compound: Ba4TcF2
Source: the Alexandria database
Functional: PBE-GGA
Structure: optimized geometry

Cell and atoms, written as CIF:
```
data_Ba4TcF2
_chemical_formula_sum 'Ba8 Tc2 F4'
_cell_length_a 5.8209
_cell_length_b 5.8209
_cell_length_c 14.3601
_cell_angle_alpha 90.00
_cell_angle_beta 90.00
_cell_angle_gamma 90.00
_symmetry_space_group_name_H-M 'I 4/m m m'
_symmetry_Int_Tables_number 139
_symmetry_space_group_name_Hall '-I 4 2'
loop_
_atom_site_label
_atom_site_fract_x
_atom_site_fract_y
_atom_site_fract_z
_atom_site_occupancy
Ba1 0.0000 0.0000 0.2396 1
Ba2 0.0000 0.5000 0.0000 1
Tc1 0.0000 0.0000 0.0000 1
F1 0.0000 0.0000 0.4090 1
```

Values from the calculation:
The value obtained for the formation energy without anion corrections is -7.28 eV/f.u. For the uncorrected energy, the calculation gives -58.169 eV for the cell shown. As for the density of states at the Fermi level: 13.4 states/eV per cell.

=====

# 10
Compound: BaTc3F
Source: the Alexandria database
Functional: PBE-GGA
Structure: optimized geometry

Cell and atoms, written as CIF:
```
data_BaTc3F
_chemical_formula_sum 'Ba1 Tc3 F1'
_cell_length_a 4.5945
_cell_length_b 4.5945
_cell_length_c 4.5945
_cell_angle_alpha 90.00
_cell_angle_beta 90.00
_cell_angle_gamma 90.00
_symmetry_space_group_name_H-M 'P m -3 m'
_symmetry_Int_Tables_number 221
_symmetry_space_group_name_Hall '-P 4 2 3'
loop_
_atom_site_label
_atom_site_fract_x
_atom_site_fract_y
_atom_site_fract_z
_atom_site_occupancy
Ba1 0.0000 0.0000 0.0000 1
Tc1 0.0000 0.5000 0.5000 1
F1 0.5000 0.5000 0.5000 1
```

Values from the calculation:
The value obtained for the formation energy without anion corrections is 6.16 eV/f.u. For the uncorrected energy, the calculation gives -28.731 eV for the cell shown. As for the density of states at the Fermi level: 6.5 states/eV per cell. The value obtained for the excess energy over the best structure of this formula in the dataset is 0.000 eV/atom.

=====

# 11
Compound: BaTc2F
Source: the Alexandria database
Functional: PBE-GGA
Structure: optimized geometry

Cell and atoms, written as CIF:
```
data_BaTc2F
_chemical_formula_sum 'Ba4 Tc8 F4'
_cell_length_a 6.7813
_cell_length_b 6.7813
_cell_length_c 6.7813
_cell_angle_alpha 90.00
_cell_angle_beta 90.00
_cell_angle_gamma 90.00
_symmetry_space_group_name_H-M 'F m -3 m'
_symmetry_Int_Tables_number 225
_symmetry_space_group_name_Hall '-F 4 2 3'
loop_
_atom_site_label
_atom_site_fract_x
_atom_site_fract_y
_atom_site_fract_z
_atom_site_occupancy
Ba1 0.0000 0.0000 0.0000 1
Tc1 0.2500 0.2500 0.2500 1
F1 0.0000 0.0000 0.5000 1
```

Values from the calculation:
The value obtained for the formation energy without anion corrections is 5.03 eV/f.u. For the uncorrected energy, the calculation gives -77.968 eV for the cell shown. As for the density of states at the Fermi level: 19.6 states/eV per cell. The value obtained for the excess energy over the best structure of this formula in the dataset is 1.828 eV/atom.